1.
VASP calculation (GGA-PBE) on a relaxed structure of Cs3MoCl.

Cell and atoms, written as CIF:
```
data_Cs3MoCl
_cell_length_a 6.749
_cell_length_b 6.749
_cell_length_c 6.749
_cell_angle_alpha 90.00
_cell_angle_beta 90.00
_cell_angle_gamma 90.00
_space_group_name_H-M_alt 'P m -3 m'
_space_group_IT_number 221
_space_group_name_Hall '-P 4 2 3'
loop_
_atom_site_label
_atom_site_type_symbol
_atom_site_fract_x
_atom_site_fract_y
_atom_site_fract_z
Cs1 Cs 0.000 0.000 0.500
Mo1 Mo 0.500 0.500 0.500
Cl1 Cl 0.000 0.000 0.000
```

Computed properties:
uncorrected formation energy	0.200	eV/atom
N(E_F)	2.52	states/eV/f.u.
M_tot	5.8	μB/f.u.
DFT total energy	-14.24	eV/f.u.

2.
VASP calculation (GGA-PBE) on a relaxed structure of CsCrW3.

Cell and atoms, written as CIF:
```
data_CsCrW3
_cell_length_a 4.863
_cell_length_b 4.863
_cell_length_c 4.863
_cell_angle_alpha 90.00
_cell_angle_beta 90.00
_cell_angle_gamma 90.00
_space_group_name_H-M_alt 'P m -3 m'
_space_group_IT_number 221
_space_group_name_Hall '-P 4 2 3'
loop_
_atom_site_label
_atom_site_type_symbol
_atom_site_fract_x
_atom_site_fract_y
_atom_site_fract_z
Cs1 Cs 0.000 0.000 0.000
Cr1 Cr 0.500 0.500 0.500
W1 W 0.000 0.000 0.500
```

Computed properties:
N(E_F)	8.86	states/eV/f.u.
ΔH_f (0 K)	4.35	eV per atom
M_tot	0.0	μB/f.u.
DFT total energy	-27.59	eV/f.u.